P | ## BaCdMo3 (GGA-PBE)

Data for a relaxed BaCdMo3 crystal.

Lattice parameters (Å, degrees): 5.2227 5.2227 5.2227 90.00 90.00 90.00
Last column: nearest neighbours and their distance in Å.
Positions (direct):
Mo  0.0000  0.5000  0.0000  2 Cd 2.61
Mo  0.0000  0.0000  0.5000  2 Cd 2.61
Mo  0.5000  0.0000  0.0000  2 Cd 2.61
Ba  0.5000  0.5000  0.5000  12 Mo 3.69
Cd  0.0000  0.0000  0.0000  6 Mo 2.61


Q | ## BaCdMo3 (GGA-PBE)

Data for a relaxed BaCdMo3 crystal.

Lattice parameters (Å, degrees): 5.0012 5.0012 5.0012 90.00 90.00 90.00
Last column: nearest neighbours and their distance in Å.
Positions (direct):
Mo  0.0000  0.5000  0.0000  2 Ba 2.50
Mo  0.0000  0.0000  0.5000  2 Ba 2.50
Mo  0.5000  0.0000  0.0000  2 Ba 2.50
Ba  0.0000  0.0000  0.0000  6 Mo 2.50
Cd  0.5000  0.5000  0.5000  12 Mo 3.54


Short version: Q is the least stable of them.


P | ## Ba2Cd2N (GGA-PBE)

Data for a relaxed Ba2Cd2N crystal.

Lattice parameters (Å, degrees): 7.4242 7.4242 6.3513 90.00 90.00 90.00
Last column: nearest neighbours and their distance in Å.
Positions (direct):
N  0.0000  0.0000  0.0000  4 Ba 2.69
N  0.5000  0.5000  0.0000  4 Ba 2.69
Ba  0.3054  0.8054  0.0000  2 N 2.69
Ba  0.8054  0.6946  0.0000  2 N 2.69
Ba  0.6946  0.1946  0.0000  2 N 2.69
Ba  0.1946  0.3054  0.0000  2 N 2.69
Cd  0.1408  0.6408  0.5000  1 Cd 2.96
Cd  0.6408  0.8592  0.5000  1 Cd 2.96
Cd  0.8592  0.3592  0.5000  1 Cd 2.96
Cd  0.3592  0.1408  0.5000  1 Cd 2.96


Q | ## Ba2Cd2N (GGA-PBE)

Data for a relaxed Ba2Cd2N crystal.

Lattice parameters (Å, degrees): 3.8116 3.8116 10.4386 79.48 79.48 90.00
Last column: nearest neighbours and their distance in Å.
Positions (direct):
N  0.0000  0.0000  0.0000  8 Ba 3.11
Ba  0.4231  0.4231  0.1538  1 Ba 3.10, 4 N 3.11
Ba  0.5769  0.5769  0.8462  1 Ba 3.10, 4 N 3.11
Cd  0.7500  0.2500  0.5000  4 Cd 2.70
Cd  0.2500  0.7500  0.5000  4 Cd 2.70


Short version: P is the least stable of them.


P | ## Ba4Cd2N (GGA-PBE)

Data for a relaxed Ba4Cd2N crystal.

Lattice parameters (Å, degrees): 8.1982 10.3218 14.6104 90.00 90.00 90.00
Last column: nearest neighbours and their distance in Å.
Positions (direct):
Ba  0.5049  0.6894  0.8464  1 N 2.49
Ba  0.4951  0.3106  0.1536  1 N 2.49
Ba  0.4951  0.8106  0.3464  1 N 2.49
Ba  0.0049  0.3106  0.1536  1 N 2.49
Ba  0.5049  0.1894  0.6536  1 N 2.49
Ba  0.9951  0.6894  0.8464  1 N 2.49
Ba  0.9951  0.1894  0.6536  1 N 2.49
Ba  0.0049  0.8106  0.3464  1 N 2.49
Ba  0.7500  0.0217  0.9180  1 N 2.50
Ba  0.2500  0.9783  0.0820  1 N 2.50
Ba  0.2500  0.4783  0.4180  1 N 2.50
Ba  0.7500  0.5217  0.5820  1 N 2.50
Ba  0.7500  0.1831  0.4171  1 N 2.51
Ba  0.2500  0.8169  0.5829  1 N 2.51
Ba  0.2500  0.3169  0.9171  1 N 2.51
Ba  0.7500  0.6831  0.0829  1 N 2.51
Cd  0.7500  0.5148  0.3235  7 Ba 3.69-3.92
Cd  0.2500  0.4852  0.6765  7 Ba 3.69-3.92
Cd  0.2500  0.9852  0.8235  7 Ba 3.69-3.92
Cd  0.7500  0.0148  0.1765  7 Ba 3.69-3.92
Cd  0.7500  0.8885  0.5818  8 Ba 3.79-4.17, 1 N 4.04
Cd  0.2500  0.1115  0.4182  8 Ba 3.79-4.17, 1 N 4.04
Cd  0.2500  0.6115  0.0818  8 Ba 3.79-4.17, 1 N 4.04
Cd  0.7500  0.3885  0.9182  8 Ba 3.79-4.17, 1 N 4.04
N  0.7500  0.7798  0.9249  4 Ba 2.49-2.51
N  0.2500  0.2202  0.0751  4 Ba 2.49-2.51
N  0.2500  0.7202  0.4249  4 Ba 2.49-2.51
N  0.7500  0.2798  0.5751  4 Ba 2.49-2.51


Q | ## Ba4Cd2N (GGA-PBE)

Data for a relaxed Ba4Cd2N crystal.

Lattice parameters (Å, degrees): 5.6792 5.6792 9.5617 72.72 72.72 90.00
Last column: nearest neighbours and their distance in Å.
Positions (direct):
N  0.0000  0.0000  0.0000  6 Ba 2.74-2.84
Ba  0.1580  0.1580  0.6839  1 N 2.74
Ba  0.8420  0.8420  0.3161  1 N 2.74
Ba  0.0000  0.5000  0.0000  2 N 2.84
Ba  0.5000  0.0000  0.0000  2 N 2.84
Cd  0.3657  0.3657  0.2685  5 Ba 3.60-3.67
Cd  0.6343  0.6343  0.7315  5 Ba 3.60-3.67


R | ## Ba4Cd2N (GGA-PBE)

Data for a relaxed Ba4Cd2N crystal.

Lattice parameters (Å, degrees): 7.6359 8.0184 10.5382 90.00 108.92 90.00
Last column: nearest neighbours and their distance in Å.
Positions (direct):
Ba  0.5032  0.5082  0.2754  1 N 2.50
Ba  0.1355  0.7500  0.9565  1 N 2.53
Ba  0.8645  0.2500  0.0435  1 N 2.53
Ba  0.5032  0.9918  0.2754  1 N 2.50
Ba  0.9295  0.2500  0.6568  1 N 2.51
Ba  0.4968  0.0082  0.7246  1 N 2.50
Ba  0.4968  0.4918  0.7246  1 N 2.50
Ba  0.0705  0.7500  0.3432  1 N 2.51
Cd  0.6724  0.7500  0.0317  7 Ba 3.68-3.91, 1 N 3.96
Cd  0.3276  0.2500  0.9683  7 Ba 3.68-3.91, 1 N 3.96
Cd  0.1879  0.2500  0.4110  8 Ba 3.73-4.12
Cd  0.8121  0.7500  0.5890  8 Ba 3.73-4.12
N  0.2869  0.7500  0.2082  4 Ba 2.50-2.53
N  0.7131  0.2500  0.7918  4 Ba 2.50-2.53


Short version: Q is the least stable of them.


P | ## Ba2CdPbN (GGA-PBE)

Data for a relaxed Ba2CdPbN crystal.

Lattice parameters (Å, degrees): 6.7905 4.4252 6.7905 90.00 90.00 90.00
Last column: nearest neighbours and their distance in Å.
Positions (direct):
Pb  0.0000  0.0000  0.0000  2 N 2.21
N  0.0000  0.5000  0.0000  2 Pb 2.21
Ba  0.0000  0.0000  0.5000  2 Pb 3.40
Ba  0.5000  0.0000  0.0000  2 Pb 3.40
Cd  0.5000  0.5000  0.5000  8 Ba 4.05, 2 Cd 4.43


Q | ## Ba2CdPbN (GGA-PBE)

Data for a relaxed Ba2CdPbN crystal.

Lattice parameters (Å, degrees): 5.9208 5.9208 4.3901 90.00 90.00 90.00
Last column: nearest neighbours and their distance in Å.
Positions (direct):
Pb  0.5000  0.5000  0.5000  8 Ba 3.69
N  0.0000  0.0000  0.0000  2 Cd 2.20
Ba  0.0000  0.5000  0.0000  2 N 2.96
Ba  0.5000  0.0000  0.0000  2 N 2.96
Cd  0.0000  0.0000  0.5000  2 N 2.20


Short version: P is the least stable of them.


P | ## BaCdSN2 (GGA-PBE)

Data for a relaxed BaCdSN2 crystal.

Lattice parameters (Å, degrees): 4.5392 4.5392 5.2466 90.00 90.00 90.00
Last column: nearest neighbours and their distance in Å.
Positions (direct):
S  0.0000  0.0000  0.5000  2 Cd 2.62
N  0.0000  0.5000  0.0000  2 Cd 2.27
N  0.5000  0.0000  0.0000  2 Cd 2.27
Ba  0.5000  0.5000  0.5000  4 S 3.21, 8 N 3.47
Cd  0.0000  0.0000  0.0000  4 N 2.27


Q | ## BaCdSN2 (GGA-PBE)

Data for a relaxed BaCdSN2 crystal.

Lattice parameters (Å, degrees): 4.7006 4.7006 6.4022 90.00 90.00 90.00
Last column: nearest neighbours and their distance in Å.
Positions (direct):
S  0.0000  0.0000  0.5000  2 Ba 3.20, 4 Cd 3.32
N  0.0000  0.5000  0.0000  2 Ba 2.35
N  0.5000  0.0000  0.0000  2 Ba 2.35
Ba  0.0000  0.0000  0.0000  4 N 2.35
Cd  0.5000  0.5000  0.5000  4 S 3.32


Short version: Q is the least stable of them.


P | ## BaCdSeN2 (GGA-PBE)

Data for a relaxed BaCdSeN2 crystal.

Lattice parameters (Å, degrees): 4.5613 4.8974 4.5613 90.00 90.00 90.00
Last column: nearest neighbours and their distance in Å.
Positions (direct):
N  0.0000  0.0000  0.5000  2 Se 2.28
N  0.5000  0.0000  0.0000  2 Se 2.28
Ba  0.5000  0.5000  0.5000  4 Cd 3.23, 8 N 3.35
Se  0.0000  0.0000  0.0000  4 N 2.28, 2 Cd 2.45
Cd  0.0000  0.5000  0.0000  2 Se 2.45


Q | ## BaCdSeN2 (GGA-PBE)

Data for a relaxed BaCdSeN2 crystal.

Lattice parameters (Å, degrees): 4.4123 4.4123 6.8116 90.00 90.00 90.00
Last column: nearest neighbours and their distance in Å.
Positions (direct):
N  0.0000  0.5000  0.0000  2 Ba 2.21
N  0.5000  0.0000  0.0000  2 Ba 2.21
Ba  0.0000  0.0000  0.0000  4 N 2.21
Se  0.0000  0.0000  0.5000  4 Cd 3.12, 2 Ba 3.41
Cd  0.5000  0.5000  0.5000  4 Se 3.12


Short version: Q is the least stable of them.


P | ## BaNaCd (GGA-PBE)

Data for a relaxed BaNaCd crystal.

Lattice parameters (Å, degrees): 5.4951 4.2732 10.1622 90.07 90.00 90.00
Last column: nearest neighbours and their distance in Å.
Positions (direct):
Ba  0.2500  0.9994  0.8014  6 Cd 3.56-3.68
Ba  0.7500  0.0006  0.1986  6 Cd 3.56-3.68
Na  0.7500  0.4981  0.5947  1 Cd 3.28, 2 Na 3.35
Na  0.2500  0.5019  0.4053  1 Cd 3.28, 2 Na 3.35
Cd  0.2500  0.5002  0.0822  2 Cd 3.22, 1 Na 3.28, 2 Ba 3.56-3.57
Cd  0.7500  0.4998  0.9178  2 Cd 3.22, 1 Na 3.28, 2 Ba 3.56-3.57


Q | ## BaNaCd (GGA-PBE)

Data for a relaxed BaNaCd crystal.

Lattice parameters (Å, degrees): 5.2547 5.2590 10.7907 89.88 89.83 59.87
Last column: nearest neighbours and their distance in Å.
Positions (direct):
Ba  0.6674  0.1671  0.3239  3 Cd 3.62
Ba  0.3326  0.8329  0.6761  3 Cd 3.62
Na  0.6660  0.1661  0.9404  3 Cd 3.16, 3 Na 3.29-3.30
Na  0.3340  0.8339  0.0596  3 Cd 3.16, 3 Na 3.29-3.30
Cd  0.9988  0.4994  0.8587  1 Cd 3.05, 3 Na 3.16
Cd  0.0012  0.5006  0.1413  1 Cd 3.05, 3 Na 3.16


Short version: Q is the least stable of them.


P | ## BaNa4Cd (GGA-PBE)

Data for a relaxed BaNa4Cd crystal.

Lattice parameters (Å, degrees): 5.0660 9.1923 9.9278 90.00 90.00 90.00
Last column: nearest neighbours and their distance in Å.
Positions (direct):
Ba  0.0000  0.5978  0.7500  1 Cd 3.52
Ba  0.0000  0.4022  0.2500  1 Cd 3.52
Na  0.0000  0.0000  0.5000  2 Cd 3.17
Na  0.0000  0.0000  0.0000  2 Cd 3.17
Na  0.5000  0.9622  0.7500  2 Cd 3.44, 6 Na 3.56-3.65
Na  0.5000  0.0378  0.2500  2 Cd 3.44, 6 Na 3.56-3.65
Na  0.5000  0.6975  0.0602  2 Cd 3.26
Na  0.5000  0.3025  0.9398  2 Cd 3.26
Na  0.5000  0.6975  0.4398  2 Cd 3.26
Na  0.5000  0.3025  0.5602  2 Cd 3.26
Cd  0.0000  0.2148  0.7500  8 Na 3.17-3.44, 1 Ba 3.52
Cd  0.0000  0.7852  0.2500  8 Na 3.17-3.44, 1 Ba 3.52


Q | ## BaNa4Cd (GGA-PBE)

Data for a relaxed BaNa4Cd crystal.

Lattice parameters (Å, degrees): 6.7028 6.7028 6.7028 60.00 60.00 60.00
Last column: nearest neighbours and their distance in Å.
Positions (direct):
Na  0.6267  0.6267  0.1199  6 Na 3.31-3.40
Na  0.6267  0.1199  0.6267  6 Na 3.31-3.40
Na  0.6267  0.6267  0.6267  6 Na 3.31-3.40
Na  0.1199  0.6267  0.6267  6 Na 3.31-3.40
Ba  0.2500  0.2500  0.2500  12 Na 3.93, 4 Cd 4.10
Cd  0.0000  0.0000  0.0000  12 Na 3.93, 4 Ba 4.10


Short version: Q is the least stable of them.


P | ## Ba4NaCd2 (GGA-PBE)

Data for a relaxed Ba4NaCd2 crystal.

Lattice parameters (Å, degrees): 6.1483 6.1483 10.4446 72.88 72.88 60.00
Last column: nearest neighbours and their distance in Å.
Positions (direct):
Ba  0.8702  0.8702  0.3895  4 Cd 3.65-3.84, 1 Na 3.83
Ba  0.1298  0.1298  0.6105  4 Cd 3.65-3.84, 1 Na 3.83
Ba  0.6182  0.6182  0.1455  4 Cd 3.67-3.78, 3 Na 3.83
Ba  0.3818  0.3818  0.8545  4 Cd 3.67-3.78, 3 Na 3.83
Na  0.0000  0.0000  0.0000  8 Ba 3.83, 6 Cd 4.26
Cd  0.7465  0.7465  0.7606  8 Ba 3.65-3.84
Cd  0.2535  0.2535  0.2394  8 Ba 3.65-3.84


Q | ## Ba4NaCd2 (GGA-PBE)

Data for a relaxed Ba4NaCd2 crystal.

Lattice parameters (Å, degrees): 6.0172 6.0172 11.4028 74.70 74.70 60.00
Last column: nearest neighbours and their distance in Å.
Positions (direct):
Ba  0.7049  0.7049  0.8853  4 Cd 3.61-3.65
Ba  0.8854  0.8854  0.3439  3 Cd 3.74, 3 Na 3.87
Ba  0.2951  0.2951  0.1147  4 Cd 3.61-3.65
Ba  0.1146  0.1146  0.6561  3 Cd 3.74, 3 Na 3.87
Na  0.5000  0.5000  0.5000  2 Cd 3.07
Cd  0.5942  0.5942  0.2175  1 Na 3.07
Cd  0.4058  0.4058  0.7825  1 Na 3.07


Short version: Q is the least stable of them.


P | ## BaNa3Cd3 (GGA-PBE)

Data for a relaxed BaNa3Cd3 crystal.

Lattice parameters (Å, degrees): 8.2645 8.2645 8.2645 90.00 90.00 90.00
Last column: nearest neighbours and their distance in Å.
Positions (direct):
Na  0.0000  0.2500  0.5000  4 Cd 2.92
Na  0.0000  0.7500  0.5000  4 Cd 2.92
Na  0.5000  0.0000  0.7500  4 Cd 2.92
Na  0.7500  0.5000  0.0000  4 Cd 2.92
Na  0.5000  0.0000  0.2500  4 Cd 2.92
Na  0.2500  0.5000  0.0000  4 Cd 2.92
Ba  0.5000  0.5000  0.5000  12 Cd 4.62, 12 Na 4.62
Ba  0.0000  0.0000  0.0000  12 Cd 4.62, 12 Na 4.62
Cd  0.2500  0.0000  0.5000  4 Na 2.92
Cd  0.0000  0.5000  0.2500  4 Na 2.92
Cd  0.5000  0.7500  0.0000  4 Na 2.92
Cd  0.7500  0.0000  0.5000  4 Na 2.92
Cd  0.0000  0.5000  0.7500  4 Na 2.92
Cd  0.5000  0.2500  0.0000  4 Na 2.92


Q | ## BaNa3Cd3 (GGA-PBE)

Data for a relaxed BaNa3Cd3 crystal.

Lattice parameters (Å, degrees): 5.2460 10.0912 10.1013 119.97 90.00 90.00
Last column: nearest neighbours and their distance in Å.
Positions (direct):
Ba  0.7500  0.3337  0.6670  9 Cd 3.53-3.60
Ba  0.2500  0.6663  0.3330  9 Cd 3.53-3.60
Na  0.7500  0.7761  0.0272  4 Cd 3.28-3.37, 4 Na 3.56-3.57
Na  0.7500  0.2512  0.2248  4 Cd 3.28-3.37, 4 Na 3.56-3.57
Na  0.7500  0.9735  0.7487  4 Cd 3.28-3.37, 4 Na 3.56
Na  0.2500  0.2239  0.9728  4 Cd 3.28-3.37, 4 Na 3.56-3.57
Na  0.2500  0.7488  0.7752  4 Cd 3.28-3.37, 4 Na 3.56-3.57
Na  0.2500  0.0265  0.2513  4 Cd 3.28-3.37, 4 Na 3.56
Cd  0.7500  0.9375  0.4012  2 Cd 3.15, 4 Na 3.28-3.37, 1 Ba 3.53
Cd  0.7500  0.4633  0.0624  2 Cd 3.15, 4 Na 3.28-3.37, 1 Ba 3.53
Cd  0.7500  0.5991  0.5363  2 Cd 3.15, 4 Na 3.28-3.37, 1 Ba 3.53
Cd  0.2500  0.0625  0.5988  2 Cd 3.15, 4 Na 3.28-3.37, 1 Ba 3.53
Cd  0.2500  0.5367  0.9376  2 Cd 3.15, 4 Na 3.28-3.37, 1 Ba 3.53
Cd  0.2500  0.4009  0.4637  2 Cd 3.15, 4 Na 3.28-3.37, 1 Ba 3.53


Short version: P is the least stable of them.


P | ## BaNaCd3 (GGA-PBE)

Data for a relaxed BaNaCd3 crystal.

Lattice parameters (Å, degrees): 5.1253 4.3456 14.8438 98.42 90.00 90.00
Last column: nearest neighbours and their distance in Å.
Positions (direct):
Ba  0.2500  0.0761  0.1523  12 Cd 3.68-3.70
Ba  0.7500  0.9239  0.8477  12 Cd 3.68-3.70
Na  0.2500  0.7886  0.5772  7 Cd 3.24-3.50
Na  0.7500  0.2114  0.4228  7 Cd 3.24-3.50
Cd  0.2500  0.3718  0.7435  3 Cd 2.95-3.03, 2 Na 3.27
Cd  0.7500  0.6282  0.2565  3 Cd 2.95-3.03, 2 Na 3.27
Cd  0.2500  0.4750  0.9500  3 Cd 2.95-3.03
Cd  0.7500  0.5250  0.0500  3 Cd 2.95-3.03
Cd  0.7500  0.3217  0.6434  2 Cd 2.95, 1 Na 3.24
Cd  0.2500  0.6783  0.3566  2 Cd 2.95, 1 Na 3.24


Q | ## BaNaCd3 (GGA-PBE)

Data for a relaxed BaNaCd3 crystal.

Lattice parameters (Å, degrees): 6.4298 7.6204 7.6203 120.01 90.00 90.00
Last column: nearest neighbours and their distance in Å.
Positions (direct):
Ba  0.7499  0.6667  0.3334  12 Cd 3.66-3.84
Ba  0.2501  0.3333  0.6666  12 Cd 3.66-3.84
Na  0.0000  0.0000  0.0000  6 Cd 3.10, 2 Na 3.21
Na  0.5000  0.0000  0.0000  6 Cd 3.10, 2 Na 3.21
Cd  0.7500  0.5990  0.7995  2 Cd 3.04, 2 Na 3.10
Cd  0.2500  0.7995  0.5990  2 Cd 3.04, 2 Na 3.10
Cd  0.2500  0.4010  0.2005  2 Cd 3.04, 2 Na 3.10
Cd  0.7500  0.2005  0.4010  2 Cd 3.04, 2 Na 3.10
Cd  0.2500  0.7994  0.2004  2 Cd 3.04, 2 Na 3.10
Cd  0.7500  0.2006  0.7996  2 Cd 3.04, 2 Na 3.10


R | ## BaNaCd3 (GGA-PBE)

Data for a relaxed BaNaCd3 crystal.

Lattice parameters (Å, degrees): 5.5655 5.5655 5.5655 90.00 90.00 90.00
Last column: nearest neighbours and their distance in Å.
Positions (direct):
Na  0.0000  0.0000  0.0000  6 Cd 2.78
Ba  0.5000  0.5000  0.5000  12 Cd 3.94
Cd  0.0000  0.5000  0.0000  2 Na 2.78
Cd  0.0000  0.0000  0.5000  2 Na 2.78
Cd  0.5000  0.0000  0.0000  2 Na 2.78


Short version: R is the least stable of them.